(1)
# PaCdSb | Alexandria | GGA-PBE | relaxed
# - ΔE_f (raw) (eV/atom) = -0.01
# - excess energy over the best structure of this formula in the dataset (meV/atom) = 24.3
# - crystal system = tetragonal
# - raw total energy (eV per atom) = -4.8549
data_PaCdSb
_cell_length_a 3.8357
_cell_length_b 3.8357
_cell_length_c 10.4712
_cell_angle_alpha 90.00
_cell_angle_beta 90.00
_cell_angle_gamma 90.00
_space_group_name_H-M_alt 'I 4 m m'
_space_group_IT_number 107
_space_group_name_Hall 'I 4 -2'
loop_
_atom_site_label
_atom_site_fract_x
_atom_site_fract_y
_atom_site_fract_z
Pa1 0.0000 0.0000 0.0000
Cd1 0.0000 0.0000 0.3207
Sb1 0.0000 0.0000 0.6631



(2)
# PaCd2Sb | Alexandria | GGA-PBE | relaxed
# - ΔE_f (raw) (eV/atom) = 0.34
# - excess energy over the best structure of this formula in the dataset (meV/atom) = 521.0
# - crystal system = trigonal
# - raw total energy (eV per atom) = -3.5254
data_PaCd2Sb
_cell_length_a 3.1877
_cell_length_b 3.1877
_cell_length_c 36.0606
_cell_angle_alpha 90.00
_cell_angle_beta 90.00
_cell_angle_gamma 120.00
_space_group_name_H-M_alt 'R -3 m'
_space_group_IT_number 166
_space_group_name_Hall '-R 3 2"'
loop_
_atom_site_label
_atom_site_fract_x
_atom_site_fract_y
_atom_site_fract_z
Pa1 0.0000 0.0000 0.0000
Cd1 0.0000 0.0000 0.0889
Sb1 0.0000 0.0000 0.5000



(3)
# ScPaCd | Alexandria | GGA-PBE | relaxed
# - energy of formation (eV per atom) = -0.006
# - excess energy over the best structure of this formula in the dataset (meV/atom) = 0.0
# - crystal system = tetragonal
# - raw total energy (eV per atom) = -5.5867
data_ScPaCd
_cell_length_a 3.1057
_cell_length_b 3.1057
_cell_length_c 14.6095
_cell_angle_alpha 90.00
_cell_angle_beta 90.00
_cell_angle_gamma 90.00
_space_group_name_H-M_alt 'I 4 m m'
_space_group_IT_number 107
_space_group_name_Hall 'I 4 -2'
loop_
_atom_site_label
_atom_site_fract_x
_atom_site_fract_y
_atom_site_fract_z
Sc1 0.0000 0.0000 0.0000
Pa1 0.0000 0.0000 0.6671
Cd1 0.0000 0.0000 0.3436